No. 1
# BaGaNi

A relaxed BaGaNi crystal (PBE, the Open Quantum Materials Database).

a b c (Å): 6.8093 6.8093 6.8093
angles (deg): 90.00 90.00 90.00
Space group F-43m (No. 216)
Inequivalent atoms, fractional coordinates:
Ba (0.0000, 0.0000, 0.0000) [4 per cell]
Ga (0.0000, 0.0000, 0.5000) [4 per cell]
Ni (0.2500, 0.2500, 0.2500) [4 per cell]

size of the total moment = 0.002 μB/f.u.
final energy = -3.42 eV per atom
crystal system = cubic

***

No. 2
# BaNpGa

A relaxed BaNpGa crystal (PBE, the Open Quantum Materials Database).

a b c (Å): 7.5281 7.5281 7.5281
angles (deg): 90.00 90.00 90.00
Space group F-43m (No. 216)
Inequivalent atoms, fractional coordinates:
Ba (0.0000, 0.0000, 0.0000) [4 per cell]
Np (0.0000, 0.0000, 0.5000) [4 per cell]
Ga (0.2500, 0.2500, 0.2500) [4 per cell]

size of the total moment = 4.464 μB/f.u.
crystal system = cubic
energy above the lowest structure with this stoichiometry = 0 meV per atom